Record 1
# La3HoTm4, optimized geometry, DFT PBE
# Volume (Å³/atom): 33.42
# E (eV for the cell shown): -72.151
# Spin magnetization (μB per formula unit): 0.0
# Calculated density (g cm⁻³): 7.8
# ΔE to the lowest computed polymorph (eV/atom): 0.113
# Energy of formation from the pure elements (eV per formula unit): 1.17
data_La3HoTm4
_chemical_formula_sum 'La6 Ho2 Tm8'
_cell_length_a 3.488
_cell_length_b 11.751
_cell_length_c 13.046
_cell_angle_alpha 90.00
_cell_angle_beta 90.00
_cell_angle_gamma 90.00
_space_group_name_H-M_alt 'I m m m'
_space_group_IT_number 71
_space_group_name_Hall '-I 2 2'
loop_
_atom_site_label
_atom_site_fract_x
_atom_site_fract_y
_atom_site_fract_z
_atom_site_occupancy
La1 0.000 0.000 0.000 1
La2 0.000 0.500 0.245 1
Ho1 0.000 0.000 0.500 1
Tm1 0.000 0.244 0.365 1



Record 2
# LaHo7Tm2, optimized geometry, DFT PBE
# Volume (Å³/atom): 31.38
# E (eV for the cell shown): -45.654
# Spin magnetization (μB per formula unit): 0.0
# Calculated density (g cm⁻³): 8.6
# ΔE to the lowest computed polymorph (eV/atom): 0.000
# Energy of formation from the pure elements (eV per formula unit): 0.26
data_LaHo7Tm2
_chemical_formula_sum 'La1 Ho7 Tm2'
_cell_length_a 6.126
_cell_length_b 7.084
_cell_length_c 7.915
_cell_angle_alpha 77.07
_cell_angle_beta 75.00
_cell_angle_gamma 73.38
_space_group_name_H-M_alt 'P -1'
_space_group_IT_number 2
loop_
_space_group_symop_operation_xyz
'x,y,z'
'-x,-y,-z'
loop_
_atom_site_label
_atom_site_fract_x
_atom_site_fract_y
_atom_site_fract_z
_atom_site_occupancy
La1 0.000 0.000 0.000 1
Ho1 0.000 0.500 0.000 1
Ho2 0.201 0.799 0.598 1
Ho3 0.400 0.100 0.202 1
Ho4 0.402 0.598 0.202 1
Tm1 0.200 0.302 0.598 1



Record 3
# La7Ho2Tm, optimized geometry, DFT PBE
# Volume (Å³/atom): 42.34
# E (eV for the cell shown): -84.265
# Spin magnetization (μB per formula unit): 0.0
# Calculated density (g cm⁻³): 5.8
# Energy of formation from the pure elements (eV per formula unit): 5.99
data_La7Ho2Tm
_chemical_formula_sum 'La14 Ho4 Tm2'
_cell_length_a 8.908
_cell_length_b 16.458
_cell_length_c 5.775
_cell_angle_alpha 90.00
_cell_angle_beta 90.00
_cell_angle_gamma 90.00
_space_group_name_H-M_alt 'C m m m'
_space_group_IT_number 65
_space_group_name_Hall '-C 2 2'
loop_
_atom_site_label
_atom_site_fract_x
_atom_site_fract_y
_atom_site_fract_z
_atom_site_occupancy
La1 0.000 0.000 0.000 1
La2 0.000 0.269 0.500 1
La3 0.181 0.387 0.000 1
Ho1 0.000 0.206 0.000 1
Tm1 0.000 0.500 0.500 1



Record 4
# La7Ho4Tm, optimized geometry, DFT PBE
# Volume (Å³/atom): 35.29
# E (eV for the cell shown): -109.378
# Spin magnetization (μB per formula unit): 0.0
# Calculated density (g cm⁻³): 7.1
# ΔE to the lowest computed polymorph (eV/atom): 0.201
# Energy of formation from the pure elements (eV per formula unit): 2.59
data_La7Ho4Tm
_chemical_formula_sum 'La14 Ho8 Tm2'
_cell_length_a 16.338
_cell_length_b 6.094
_cell_length_c 9.534
_cell_angle_alpha 90.00
_cell_angle_beta 116.85
_cell_angle_gamma 90.00
_space_group_name_H-M_alt 'C 1 2/m 1'
_space_group_IT_number 12
loop_
_space_group_symop_operation_xyz
'x,y,z'
'-x,-y,-z'
'-x,y,-z'
'x,-y,z'
'x+1/2,y+1/2,z'
'-x+1/2,-y+1/2,-z'
'-x+1/2,y+1/2,-z'
'x+1/2,-y+1/2,z'
loop_
_atom_site_label
_atom_site_fract_x
_atom_site_fract_y
_atom_site_fract_z
_atom_site_occupancy
La1 0.000 0.000 0.000 1
La2 0.086 0.500 0.447 1
La3 0.208 0.500 0.887 1
La4 0.213 0.500 0.235 1
Ho1 0.069 0.000 0.697 1
Ho2 0.170 0.000 0.383 1
Tm1 0.000 0.500 0.000 1